Density functional theory data (PBE) for a geometry-optimized La8Dy3Th2 structure.

a b c (Å): 21.0578 7.5381 5.8608
angles (deg): 90.00 90.07 90.00
Last column: nearest neighbours and their distance in Å.
Space group C2/m (No. 12)
One atom of each set of equivalent atoms:
La: 0.1055 0.2030 0.0003 (multiplicity 8)  1 La 3.06, 1 Dy 3.15
La: 0.1354 0.5000 0.4992 (multiplicity 4)  2 Dy 3.52, 2 Th 3.70-3.72, 6 La 3.74-3.86
La: 0.1756 0.0000 0.5016 (multiplicity 4)  2 Th 3.39-3.40, 4 La 3.62-3.63
Dy: 0.0000 0.2261 0.5000 (multiplicity 4)  3 Dy 3.41-3.58, 6 La 3.52-3.68
Dy: 0.0000 0.5000 0.0000 (multiplicity 2)  4 La 3.15
Th: 0.2432 0.5000 0.9976 (multiplicity 4)  8 La 3.39-3.72, 2 Th 3.78

calculated total energy = -5.02 eV/atom
energy of formation = 0.220 eV/atom
crystal system = monoclinic


Density functional theory data (PBE) for a geometry-optimized Ac2CuAg2Pd5 structure.

a b c (Å): 10.0589 10.0589 4.0459
angles (deg): 90.00 90.00 90.00
Last column: nearest neighbours and their distance in Å.
Space group P4/mbm (No. 127)
One atom of each set of equivalent atoms:
Ac: 0.1773 0.3227 0.0000 (multiplicity 4)  3 Ag 2.84-3.07
Cu: 0.0000 0.0000 0.0000 (multiplicity 2)  8 Pd 2.85
Ag: 0.1231 0.6231 0.0000 (multiplicity 4)  6 Pd 2.68-2.84, 1 Ac 2.84
Pd: 0.0000 0.5000 0.5000 (multiplicity 2)  4 Ag 2.68
Pd: 0.0503 0.8068 0.5000 (multiplicity 8)  2 Ag 2.84, 3 Pd 2.84-3.13, 2 Cu 2.85

calculated total energy = -4.79 eV/atom
energy of formation = -0.389 eV/atom
crystal system = tetragonal


Density functional theory data (PBE) for a geometry-optimized Pr3Be2Si3 structure.

a b c (Å): 3.9547 11.0536 15.1933
angles (deg): 90.00 90.00 90.00
Last column: nearest neighbours and their distance in Å.
Space group Cmcm (No. 63)
One atom of each set of equivalent atoms:
Pr: 0.0000 0.0360 0.2500 (multiplicity 4)  5 Si 2.95-3.13, 4 Be 3.01
Pr: 0.0000 0.3463 0.0921 (multiplicity 8)  7 Si 3.07-3.28, 4 Be 3.10-3.21
Be: 0.0000 0.3669 0.6186 (multiplicity 8)  3 Si 2.28-2.39
Si: 0.0000 0.0730 0.0577 (multiplicity 8)  2 Be 2.28, 1 Si 2.38
Si: 0.0000 0.2475 0.7500 (multiplicity 4)  2 Be 2.39

calculated total energy = -5.31 eV/atom
uncorrected formation energy = -0.55 eV per atom
crystal system = orthorhombic


Density functional theory data (PBE) for a geometry-optimized Zn2GaCu4 structure.

a b c (Å): 8.8546 8.9531 4.9360
angles (deg): 90.00 90.00 90.00
Last column: nearest neighbours and their distance in Å.
Space group Fmm2 (No. 42)
One atom of each set of equivalent atoms:
Zn: 0.2500 0.2500 0.0000 (multiplicity 8)  2 Zn 2.47, 8 Cu 2.58-2.59
Ga: 0.0000 0.0000 0.2489 (multiplicity 4)  4 Cu 2.64-2.70
Cu: 0.0000 0.1986 0.7500 (multiplicity 8)  4 Cu 2.52-2.63, 4 Zn 2.58, 1 Ga 2.70
Cu: 0.2023 0.0000 0.7500 (multiplicity 8)  4 Cu 2.52-2.61, 4 Zn 2.59, 1 Ga 2.64

relative energy among the computed polymorphs = 0.033 eV per atom
calculated total energy = -3.08 eV/atom
energy of formation = 0.057 eV/atom
crystal system = orthorhombic


Density functional theory data (PBE) for a geometry-optimized Zr2CrAg structure.

a b c (Å): 9.9438 3.0142 5.3673
angles (deg): 90.00 97.50 90.00
Last column: nearest neighbours and their distance in Å.
Space group C2/m (No. 12)
One atom of each set of equivalent atoms:
Zr: 0.2424 0.0000 0.2566 (multiplicity 4)  3 Cr 2.89-3.11, 6 Zr 3.00-3.16, 3 Ag 3.02-3.06
Cr: 0.0000 0.0000 0.5000 (multiplicity 2)  6 Zr 2.89-3.11, 2 Cr 3.01, 4 Ag 3.08
Ag: 0.0000 0.5000 0.0000 (multiplicity 2)  2 Ag 3.01, 6 Zr 3.02-3.06, 4 Cr 3.08

relative energy among the computed polymorphs = 0.312 eV per atom
calculated total energy = -7.05 eV/atom
energy of formation = 0.343 eV/atom
crystal system = monoclinic


Density functional theory data (PBE) for a geometry-optimized Ce3BeSi3 structure.

a b c (Å): 3.8876 4.2967 17.7019
angles (deg): 90.00 90.00 90.00
Last column: nearest neighbours and their distance in Å.
Space group Imm2 (No. 44)
One atom of each set of equivalent atoms:
Ce: 0.0000 0.0000 0.0000 (multiplicity 2)  2 Be 2.99, 5 Si 3.04-3.16
Ce: 0.0000 0.0000 0.3688 (multiplicity 2)  7 Si 3.02-3.26
Ce: 0.0000 0.5000 0.6834 (multiplicity 2)  8 Si 3.07-3.26, 4 Be 3.12
Be: 0.0000 0.5000 0.1173 (multiplicity 2)  3 Si 2.20-2.25
Si: 0.0000 0.0000 0.5528 (multiplicity 2)  2 Be 2.25
Si: 0.0000 0.0000 0.8217 (multiplicity 2)  2 Si 2.41
Si: 0.0000 0.5000 0.2415 (multiplicity 2)  1 Be 2.20, 2 Si 2.41

calculated total energy = -5.99 eV/atom
uncorrected formation energy = -0.59 eV per atom
crystal system = orthorhombic


Density functional theory data (PBE) for a geometry-optimized TbZn8Ni4 structure.

a b c (Å): 8.5752 8.5752 5.0643
angles (deg): 90.00 90.00 90.00
Last column: nearest neighbours and their distance in Å.
Space group I4/mmm (No. 139)
One atom of each set of equivalent atoms:
Tb: 0.0000 0.0000 0.0000 (multiplicity 2)  12 Zn 2.93-3.17
Zn: 0.0000 0.2227 0.5000 (multiplicity 8)  4 Ni 2.50, 6 Zn 2.70-2.74
Zn: 0.0000 0.3419 0.0000 (multiplicity 8)  4 Ni 2.61, 5 Zn 2.71-2.74
Ni: 0.2500 0.2500 0.2500 (multiplicity 8)  8 Zn 2.50-2.61, 2 Ni 2.53

calculated total energy = -3.21 eV/atom
energy of formation = -0.295 eV/atom
crystal system = tetragonal


Density functional theory data (PBE) for a geometry-optimized USi2Ru2 structure.

a b c (Å): 4.1511 4.1511 9.5572
angles (deg): 90.00 90.00 90.00
Last column: nearest neighbours and their distance in Å.
Space group I4/mmm (No. 139)
One atom of each set of equivalent atoms:
U: 0.0000 0.0000 0.0000 (multiplicity 2)  8 Ru 3.16, 8 Si 3.17
Si: 0.0000 0.0000 0.3740 (multiplicity 4)  4 Ru 2.39, 1 Si 2.41
Ru: 0.0000 0.5000 0.2500 (multiplicity 4)  4 Si 2.39

calculated total energy = -8.81 eV/atom
uncorrected formation energy = -0.67 eV per atom
crystal system = tetragonal